Density functional theory data (PBE) for CsCaNdI6 after structural relaxation.

Values from the calculation:
**Energy relative to the elements, uncorrected**: -1.530 eV per atom
**VASP energy**: -3.410 eV per atom

Unit cell a=8.1506 b=8.1506 c=17.1358 alpha=90.00 beta=90.00 gamma=120.00
Atoms (fractional coordinates):
Cs 0.0000 0.0000 0.0000
Cs 0.0000 0.0000 0.5000
Ca 0.3333 0.6667 0.2500
Ca 0.6667 0.3333 0.7500
Nd 0.3333 0.6667 0.7500
Nd 0.6667 0.3333 0.2500
I 0.0013 0.3776 0.6428
I 0.0013 0.6238 0.8572
I 0.3762 0.3776 0.8572
I 0.3762 0.9987 0.6428
I 0.3776 0.0013 0.1428
I 0.3776 0.3762 0.3572
I 0.6224 0.6238 0.6428
I 0.6224 0.9987 0.8572
I 0.6238 0.0013 0.3572
I 0.6238 0.6224 0.1428
I 0.9987 0.3762 0.1428
I 0.9987 0.6224 0.3572

=====

Density functional theory data (PBE) for Ac3MgPd9Au2 after structural relaxation.

Values from the calculation:
**Calculated formation energy**: -0.299 eV/atom
**VASP energy**: -4.780 eV per atom

Unit cell a=7.9665 b=7.9665 c=6.4564 alpha=90.00 beta=90.00 gamma=120.00
Atoms (fractional coordinates):
Ac 0.0000 0.0000 0.0000
Ac 0.3333 0.6667 0.6789
Ac 0.6667 0.3333 0.3211
Mg 0.0000 0.0000 0.5000
Pd 0.0000 0.5000 0.0000
Pd 0.1578 0.3156 0.3336
Pd 0.1578 0.8422 0.3336
Pd 0.3156 0.1578 0.6664
Pd 0.5000 0.0000 0.0000
Pd 0.5000 0.5000 0.0000
Pd 0.6844 0.8422 0.3336
Pd 0.8422 0.1578 0.6664
Pd 0.8422 0.6844 0.6664
Au 0.3333 0.6667 0.1882
Au 0.6667 0.3333 0.8118

=====

Density functional theory data (PBE) for LiLaAs3 after structural relaxation.

Values from the calculation:
**Calculated formation energy**: 0.306 eV/atom
**VASP energy**: -3.852 eV per atom

Unit cell a=5.6776 b=5.6776 c=5.6776 alpha=90.00 beta=90.00 gamma=90.00
Atoms (fractional coordinates):
Li 0.0000 0.0000 0.0000
La 0.5000 0.5000 0.5000
As 0.0000 0.5000 0.5000
As 0.5000 0.0000 0.5000
As 0.5000 0.5000 0.0000

=====

Density functional theory data (PBE) for ReSBrN2 after structural relaxation.

Values from the calculation:
**Energy relative to the elements, uncorrected**: 2.645 eV per atom
**VASP energy**: -4.335 eV per atom

Unit cell a=3.7073 b=3.7073 c=6.6486 alpha=90.00 beta=90.00 gamma=90.00
Atoms (fractional coordinates):
Re 0.0000 0.0000 0.0000
S 0.5000 0.5000 0.0000
Br 0.5000 0.5000 0.5000
N 0.0000 0.5000 0.5000
N 0.5000 0.0000 0.5000

=====

Density functional theory data (PBE) for Rb2MnTeAs after structural relaxation.

Values from the calculation:
**Energy relative to the elements, uncorrected**: 0.291 eV per atom
**VASP energy**: -3.488 eV per atom

Unit cell a=6.9383 b=6.9383 c=4.9267 alpha=90.00 beta=90.00 gamma=90.00
Atoms (fractional coordinates):
Rb 0.0000 0.5000 0.0000
Rb 0.5000 0.0000 0.0000
Mn 0.0000 0.0000 0.0000
Te 0.0000 0.0000 0.5000
As 0.5000 0.5000 0.5000

=====

Density functional theory data (PBE) for SnPRuCl2 after structural relaxation.

Values from the calculation:
**Energy relative to the elements, uncorrected**: 0.090 eV per atom
**VASP energy**: -4.387 eV per atom

Unit cell a=4.9557 b=4.9557 c=4.5670 alpha=90.00 beta=90.00 gamma=90.00
Atoms (fractional coordinates):
Sn 0.0000 0.0000 0.0000
P 0.5000 0.5000 0.0000
Ru 0.5000 0.5000 0.5000
Cl 0.0000 0.5000 0.5000
Cl 0.5000 0.0000 0.5000

=====

Density functional theory data (PBE) for CaIrOF2 after structural relaxation.

Values from the calculation:
**Energy relative to the elements, uncorrected**: -1.398 eV per atom
**VASP energy**: -5.311 eV per atom

Unit cell a=4.5005 b=4.5005 c=3.8393 alpha=90.00 beta=90.00 gamma=90.00
Atoms (fractional coordinates):
Ca 0.0000 0.0000 0.0000
Ir 0.5000 0.5000 0.5000
O 0.5000 0.5000 0.0000
F 0.0000 0.5000 0.5000
F 0.5000 0.0000 0.5000

=====

Density functional theory data (PBE) for Zn2CoCl after structural relaxation.

Values from the calculation:
**Energy relative to the elements, uncorrected**: 0.011 eV per atom
**VASP energy**: -2.864 eV per atom

Unit cell a=2.9243 b=3.2494 c=7.5000 alpha=90.00 beta=90.00 gamma=90.00
Atoms (fractional coordinates):
Zn 0.0000 0.0000 0.0000
Zn 0.0000 0.5000 0.4264
Co 0.5000 0.0000 0.2646
Cl 0.0000 0.5000 0.7628